First-principles (GGA-PBE) data for an optimized crystal structure of Ce3Sm2ErTe6, as listed in the Alexandria database.

CIF file:
```
data_Ce3Sm2ErTe6
_space_group_name_H-M_alt 'C 1 2/m 1'
_space_group_IT_number 12
_cell_length_a 7.655
_cell_length_b 13.276
_cell_length_c 7.773
_cell_angle_alpha 90.00
_cell_angle_beta 109.19
_cell_angle_gamma 90.00
loop_
_space_group_symop_operation_xyz
'x,y,z'
'-x,-y,-z'
'-x,y,-z'
'x,-y,z'
'x+1/2,y+1/2,z'
'-x+1/2,-y+1/2,-z'
'-x+1/2,y+1/2,-z'
'x+1/2,-y+1/2,z'
loop_
_atom_site_label
_atom_site_type_symbol
_atom_site_fract_x
_atom_site_fract_y
_atom_site_fract_z
Ce1 Ce 0.000 0.000 0.000
Ce2 Ce 0.000 0.329 0.000
Sm1 Sm 0.000 0.166 0.500
Er1 Er 0.000 0.500 0.500
Te1 Te 0.243 0.337 0.741
Te2 Te 0.244 0.500 0.254
```

Output
- E_tot: -5.578 eV/atom
- Formation energy from raw total energies: -1357 meV per atom

First-principles (GGA-PBE) data for an optimized crystal structure of Dy8NiSe4S3, as listed in the Alexandria database.

CIF file:
```
data_Dy8NiSe4S3
_space_group_name_H-M_alt 'R -3 m'
_space_group_IT_number 166
_space_group_name_Hall '-R 3 2"'
_cell_length_a 7.9774
_cell_length_b 7.9774
_cell_length_c 19.8808
_cell_angle_alpha 90.00
_cell_angle_beta 90.00
_cell_angle_gamma 120.00
loop_
_atom_site_label
_atom_site_type_symbol
_atom_site_fract_x
_atom_site_fract_y
_atom_site_fract_z
Dy1 Dy 0.0000 0.0000 0.2434
Dy2 Dy 0.0117 0.5059 0.2423
Ni1 Ni 0.0000 0.0000 0.5000
Se1 Se 0.0000 0.0000 0.0000
Se2 Se 0.0000 0.5000 0.0000
S1 S 0.0000 0.5000 0.5000
```

Output
- E_tot: -6.007 eV/atom
- Formation energy from raw total energies: -1699 meV per atom

First-principles (GGA-PBE) data for an optimized crystal structure of TiCo3H, as listed in the Alexandria database.

CIF file:
```
data_TiCo3H
_space_group_name_H-M_alt 'P m -3 m'
_space_group_IT_number 221
_space_group_name_Hall '-P 4 2 3'
_cell_length_a 3.619
_cell_length_b 3.619
_cell_length_c 3.619
_cell_angle_alpha 90.00
_cell_angle_beta 90.00
_cell_angle_gamma 90.00
loop_
_atom_site_label
_atom_site_type_symbol
_atom_site_fract_x
_atom_site_fract_y
_atom_site_fract_z
Ti1 Ti 0.000 0.000 0.000
Co1 Co 0.000 0.500 0.500
H1 H 0.500 0.500 0.500
```

Output
- E_tot: -6.788 eV/atom

First-principles (GGA-PBE) data for an optimized crystal structure of ScTc2Rh, as listed in the Alexandria database.

CIF file:
```
data_ScTc2Rh
_space_group_name_H-M_alt 'F -4 3 m'
_space_group_IT_number 216
_space_group_name_Hall 'F -4 2 3'
_cell_length_a 6.301
_cell_length_b 6.301
_cell_length_c 6.301
_cell_angle_alpha 90.00
_cell_angle_beta 90.00
_cell_angle_gamma 90.00
loop_
_atom_site_label
_atom_site_type_symbol
_atom_site_fract_x
_atom_site_fract_y
_atom_site_fract_z
Sc1 Sc 0.000 0.000 0.000
Tc1 Tc 0.000 0.000 0.500
Tc2 Tc 0.250 0.250 0.250
Rh1 Rh 0.250 0.250 0.750
```

Output
- E_tot: -8.773 eV/atom
- Formation energy from the elements: -169 meV per atom

First-principles (GGA-PBE) data for an optimized crystal structure of Na2Sr3ThS6, as listed in the Alexandria database.

CIF file:
```
data_Na2Sr3ThS6
_space_group_name_H-M_alt 'C 1 2/m 1'
_space_group_IT_number 12
_cell_length_a 7.295
_cell_length_b 12.622
_cell_length_c 7.240
_cell_angle_alpha 90.00
_cell_angle_beta 109.57
_cell_angle_gamma 90.00
loop_
_space_group_symop_operation_xyz
'x,y,z'
'-x,-y,-z'
'-x,y,-z'
'x,-y,z'
'x+1/2,y+1/2,z'
'-x+1/2,-y+1/2,-z'
'-x+1/2,y+1/2,-z'
'x+1/2,-y+1/2,z'
loop_
_atom_site_label
_atom_site_type_symbol
_atom_site_fract_x
_atom_site_fract_y
_atom_site_fract_z
Na1 Na 0.000 0.165 0.000
Sr1 Sr 0.000 0.000 0.500
Sr2 Sr 0.000 0.329 0.500
Th1 Th 0.000 0.500 0.000
S1 S 0.233 0.500 0.760
S2 S 0.238 0.342 0.241
```

Output
- E_tot: -5.212 eV/atom
- Formation energy from raw total energies: -1889 meV per atom

First-principles (GGA-PBE) data for an optimized crystal structure of Be2CuGeAu4, as listed in the Alexandria database.

CIF file:
```
data_Be2CuGeAu4
_space_group_name_H-M_alt 'R -3 m'
_space_group_IT_number 166
_space_group_name_Hall '-R 3 2"'
_cell_length_a 3.9691
_cell_length_b 3.9691
_cell_length_c 27.9715
_cell_angle_alpha 90.00
_cell_angle_beta 90.00
_cell_angle_gamma 120.00
loop_
_atom_site_label
_atom_site_type_symbol
_atom_site_fract_x
_atom_site_fract_y
_atom_site_fract_z
Be1 Be 0.0000 0.0000 0.1958
Cu1 Cu 0.0000 0.0000 0.5000
Ge1 Ge 0.0000 0.0000 0.0000
Au1 Au 0.0000 0.0000 0.1106
Au2 Au 0.0000 0.0000 0.3835
```

Output
- E_tot: -3.668 eV/atom
- Formation energy from the elements: -9 meV per atom

First-principles (GGA-PBE) data for an optimized crystal structure of InGe2PbO6, as listed in the Alexandria database.

CIF file:
```
data_InGe2PbO6
_space_group_name_H-M_alt 'C 1 2/c 1'
_space_group_IT_number 15
_cell_length_a 10.192
_cell_length_b 10.423
_cell_length_c 5.666
_cell_angle_alpha 90.00
_cell_angle_beta 99.47
_cell_angle_gamma 90.00
loop_
_space_group_symop_operation_xyz
'x,y,z'
'-x,-y,-z'
'-x,y,-z+1/2'
'x,-y,z+1/2'
'x+1/2,y+1/2,z'
'-x+1/2,-y+1/2,-z'
'-x+1/2,y+1/2,-z+1/2'
'x+1/2,-y+1/2,z+1/2'
loop_
_atom_site_label
_atom_site_type_symbol
_atom_site_fract_x
_atom_site_fract_y
_atom_site_fract_z
In1 In 0.000 0.202 0.250
Ge1 Ge 0.198 0.089 0.783
Pb1 Pb 0.000 0.395 0.750
O1 O 0.107 0.212 0.609
O2 O 0.129 0.372 0.172
O3 O 0.155 0.061 0.100
```

Output
- E_tot: -5.909 eV/atom
- Formation energy from raw total energies: -1366 meV per atom

First-principles (GGA-PBE) data for an optimized crystal structure of Cu2Hg2Pb, as listed in the Alexandria database.

CIF file:
```
data_Cu2Hg2Pb
_space_group_name_H-M_alt 'P 4/m b m'
_space_group_IT_number 127
_space_group_name_Hall '-P 4 2ab'
_cell_length_a 8.050
_cell_length_b 8.050
_cell_length_c 3.143
_cell_angle_alpha 90.00
_cell_angle_beta 90.00
_cell_angle_gamma 90.00
loop_
_atom_site_label
_atom_site_type_symbol
_atom_site_fract_x
_atom_site_fract_y
_atom_site_fract_z
Cu1 Cu 0.166 0.334 0.000
Hg1 Hg 0.132 0.632 0.500
Pb1 Pb 0.000 0.000 0.500
```

Output
- E_tot: -2.262 eV/atom
- Formation energy from the elements: 239 meV per atom